1.
{"formula": "GaSn2B", "functional": "PBE", "state": "optimized geometry", "lattice": [[0.000, 3.428, 3.428], [3.428, 0.000, 3.428], [3.428, 3.428, 0.000]], "species": ["Sn", "Sn", "B", "Ga"], "fractional_positions": [[0.750, 0.750, 0.750], [0.250, 0.250, 0.250], [0.000, 0.000, 0.000], [0.500, 0.500, 0.500]], "dft_energy_ev_per_atom": -3.60, "e_form_mev_per_atom": 828, "dos_at_fermi_per_ev_cell": 1.8}


2.
{"formula": "CaNb3Pd", "functional": "PBE", "state": "optimized geometry", "lattice": [[-3.702, 2.429, -1.542], [-1.815, -3.922, -1.820], [-2.233, -0.840, 4.037]], "species": ["Pd", "Nb", "Nb", "Nb", "Ca"], "fractional_positions": [[0.500, 0.500, 0.500], [0.000, 0.500, 0.000], [0.000, 0.000, 0.500], [0.500, 0.000, 0.000], [0.000, 0.000, 0.000]], "dft_energy_ev_per_atom": -5.25, "e_form_mev_per_atom": 2228, "dos_at_fermi_per_ev_cell": 13.1}


3.
{"formula": "PmTlSn", "functional": "PBE", "state": "optimized geometry", "lattice": [[-0.373, 5.668, 0.837], [-3.446, -0.078, -1.004], [-4.143, -1.441, 7.912]], "species": ["Pm", "Pm", "Tl", "Tl", "Sn", "Sn"], "fractional_positions": [[0.250, 0.170, 0.659], [0.750, 0.830, 0.341], [0.500, 0.000, 0.000], [0.000, 0.000, 0.000], [0.250, 0.349, 0.302], [0.750, 0.651, 0.698]], "dft_energy_ev_per_atom": -3.98, "e_form_mev_per_atom": -270, "dos_at_fermi_per_ev_cell": 3.5}


4.
{"formula": "ScBiSe2", "functional": "PBE", "state": "optimized geometry", "lattice": [[-4.437, -6.053, 1.450], [3.485, -3.892, -5.580], [1.940, -6.180, 0.287]], "species": ["Sc", "Sc", "Se", "Se", "Se", "Se", "Bi", "Bi"], "fractional_positions": [[0.250, 0.750, 0.500], [0.500, 0.500, 0.000], [0.375, 0.411, 0.750], [0.875, 0.839, 0.750], [0.589, 0.125, 0.250], [0.161, 0.625, 0.250], [0.000, 0.000, 0.000], [0.750, 0.250, 0.500]], "dft_energy_ev_per_atom": -5.02, "formation_energy_uncorrected_ev_per_fu": -2.881, "dos_at_fermi_per_ev_cell": 1.6}


5.
{"formula": "TbTeO5", "functional": "PBE", "state": "optimized geometry", "lattice": [[1.054, 1.761, 3.325], [3.369, -3.311, 2.981], [5.222, 1.944, -0.389]], "species": ["O", "O", "O", "O", "O", "Tb", "Te"], "fractional_positions": [[0.500, 0.000, 0.000], [0.230, 0.770, 0.770], [0.000, 0.704, 0.296], [0.770, 0.230, 0.230], [0.000, 0.296, 0.704], [0.500, 0.500, 0.500], [0.000, 0.000, 0.000]], "dft_energy_ev_per_atom": -6.34, "formation_energy_uncorrected_ev_per_fu": -11.818, "dos_at_fermi_per_ev_cell": 2.4}


6.
{"formula": "La6CdCo", "functional": "PBE", "state": "optimized geometry", "lattice": [[6.517, 1.324, -1.705], [4.602, 7.280, -1.267], [1.851, 2.181, 5.581]], "species": ["La", "La", "La", "La", "La", "La", "Cd", "Co"], "fractional_positions": [[0.530, 0.691, 0.935], [0.470, 0.309, 0.065], [0.095, 0.296, 0.705], [0.905, 0.704, 0.295], [0.844, 0.934, 0.690], [0.156, 0.066, 0.310], [0.500, 0.500, 0.500], [0.000, 0.000, 0.000]], "dft_energy_ev_per_atom": -4.79, "e_form_mev_per_atom": -91, "dos_at_fermi_per_ev_cell": 8.1}


7.
{"formula": "Nd6ErTm4", "functional": "PBE", "state": "optimized geometry", "lattice": [[-4.795, 0.017, -4.716], [-4.237, -2.969, 4.297], [1.953, 8.944, 2.843]], "species": ["Nd", "Nd", "Nd", "Nd", "Nd", "Nd", "Tm", "Tm", "Tm", "Tm", "Er"], "fractional_positions": [[0.512, 0.131, 0.643], [0.131, 0.512, 0.643], [0.488, 0.488, 0.357], [0.000, 0.500, 0.000], [0.500, 0.000, 0.000], [0.869, 0.869, 0.357], [0.295, 0.941, 0.236], [0.705, 0.705, 0.764], [0.941, 0.295, 0.236], [0.059, 0.059, 0.764], [0.500, 0.500, 0.000]], "dft_energy_ev_per_atom": -4.34, "e_form_mev_per_atom": 303, "dos_at_fermi_per_ev_cell": 16.6}


8.
{"formula": "Sm2DyEr4Mg", "functional": "PBE", "state": "optimized geometry", "lattice": [[4.936, 0.000, 0.000], [0.000, 4.842, 1.015], [0.000, 2.790, 10.850]], "species": ["Er", "Er", "Er", "Er", "Sm", "Sm", "Dy", "Mg"], "fractional_positions": [[0.000, 0.251, 0.249], [0.500, 0.249, 0.751], [0.000, 0.749, 0.751], [0.500, 0.751, 0.249], [0.500, 0.000, 0.500], [0.000, 0.000, 0.000], [0.000, 0.500, 0.500], [0.500, 0.500, 0.000]], "dft_energy_ev_per_atom": -4.21, "e_form_mev_per_atom": 29, "dos_at_fermi_per_ev_cell": 11.9}